First-principles (GGA-PBE) data for an optimized crystal structure of Ca2Zn5Cu3, as listed in the Alexandria database.

POSCAR file:
```
Ca2Zn5Cu3
1.0
-4.983 6.507 2.748
4.983 -6.507 2.748
4.983 6.507 -2.748
Ca Zn Cu
4 10 6
Cartesian
2.171 1.948 0.000
2.171 -1.948 2.748
2.812 8.455 0.000
2.812 4.559 2.748
4.983 -2.552 1.374
6.816 1.068 0.000
0.000 0.000 1.374
1.833 5.439 0.000
4.983 2.552 1.374
0.000 3.954 1.374
3.151 1.068 2.748
0.000 0.000 4.122
-1.833 5.439 2.748
0.000 9.059 1.374
4.165 -4.524 2.748
4.983 0.000 1.374
4.165 4.524 0.000
0.818 1.983 2.748
0.000 6.507 1.374
0.818 11.030 0.000
```

Values from the calculation:
Crystal system: orthorhombic
Total magnetic moment in μB/atom: 0.000
DFT total energy in eV/cell: -48.9
Space group: Ibam, No. 72
Formation enthalpy at 0 K in eV per formula unit: -1.805